SmDy5Tm: relaxed, PBE.

abc: 6.733 6.733 12.223
angles: 108.05 108.05 59.79
Element x y z (fractional)
Sm  0.031  0.969  0.750
Sm  0.969  0.031  0.250
Dy  0.149  0.414  0.756
Dy  0.185  0.656  0.499
Dy  0.344  0.815  0.001
Dy  0.411  0.589  0.250
Dy  0.414  0.149  0.256
Dy  0.586  0.851  0.744
Dy  0.589  0.411  0.750
Dy  0.656  0.185  0.999
Dy  0.815  0.344  0.501
Dy  0.851  0.586  0.244
Tm  0.000  0.500  0.000
Tm  0.500  0.000  0.500

## Properties
Total DFT energy (no corrections): -4.407 eV/atom
Formation enthalpy at 0 K: 193 meV/atom
Magnetic moment: 0.000 μB per formula unit
Fermi-level density of states: 7.60 states/eV/f.u.
Symmetry: No. 15
Crystal system: monoclinic

=====

YZnB: relaxed, PBE.

abc: 9.010 9.010 3.165
angles: 90.00 90.00 157.13
Element x y z (fractional)
Y  0.093  0.907  0.750
Y  0.907  0.093  0.250
Zn  0.285  0.715  0.750
Zn  0.715  0.285  0.250
B  0.484  0.516  0.750
B  0.516  0.484  0.250

## Properties
Total DFT energy (no corrections): -5.177 eV/atom
Formation enthalpy at 0 K: -371 meV/atom
Magnetic moment: 0.000 μB per formula unit
Fermi-level density of states: 1.76 states/eV/f.u.
Symmetry: No. 63
Crystal system: orthorhombic

=====

AlTcRu2: relaxed, PBE.

abc: 2.724 2.724 8.531
angles: 90.00 90.00 115.26
Element x y z (fractional)
Al  0.000  0.000  0.000
Tc  0.000  0.000  0.500
Ru  0.500  0.500  0.242
Ru  0.500  0.500  0.758

## Properties
Total DFT energy (no corrections): -8.109 eV/atom
Formation enthalpy at 0 K: 56 meV/atom
Magnetic moment: 0.000 μB per formula unit
Fermi-level density of states: 4.54 states/eV/f.u.
Symmetry: No. 65
Crystal system: orthorhombic

=====

ZnIn2Br: relaxed, PBE.

abc: 6.102 6.102 5.577
angles: 116.92 116.92 35.36
Element x y z (fractional)
Zn  0.000  0.000  0.000
In  0.267  0.267  0.766
In  0.733  0.733  0.234
Br  0.500  0.500  0.500

## Properties
Total DFT energy (no corrections): -2.197 eV/atom
ΔE_f (raw): -91 meV per atom
Magnetic moment: 0.000 μB per formula unit
Fermi-level density of states: 1.08 states/eV/f.u.
Symmetry: No. 12
Crystal system: monoclinic